Entry 1:
! LaDyCo2Ge4 PBE optimized geometry; values from VASP
&SYSTEM
  ibrav = 0, nat = 8, ntyp = 4
/
ATOMIC_SPECIES
Co 58.93 Co.upf
Dy 162.50 Dy.upf
Ge 72.64 Ge.upf
La 138.91 La.upf
CELL_PARAMETERS angstrom
4.192 0.000 0.000
0.000 2.107 8.367
0.000 -2.107 8.367
ATOMIC_POSITIONS angstrom
Co 0.000 0.000 3.042
Co 2.096 0.000 13.710
Dy 0.000 0.000 6.523
Ge 0.000 0.000 0.722
Ge 2.096 0.000 4.211
Ge 0.000 0.000 12.592
Ge 2.096 0.000 15.957
La 2.096 0.000 10.179
! **Space group**: No. 38


Entry 2:
! TmAuSeO PBE optimized geometry; values from VASP
&SYSTEM
  ibrav = 0, nat = 16, ntyp = 4
/
ATOMIC_SPECIES
Au 196.97 Au.upf
O 16.00 O.upf
Se 78.96 Se.upf
Tm 168.93 Tm.upf
CELL_PARAMETERS angstrom
-2.730 6.543 -2.001
-5.392 -2.650 -1.308
-1.850 0.946 5.709
ATOMIC_POSITIONS angstrom
Au -4.067 -1.303 -1.030
Au -4.517 5.896 0.687
Au -5.455 -1.058 1.713
Au -5.904 6.142 3.429
O -2.770 2.585 -1.340
O -6.387 1.727 0.858
O -3.585 3.112 1.541
O -7.202 2.254 3.739
Se -7.681 2.924 -1.736
Se -3.529 0.379 0.756
Se -6.443 4.460 1.643
Se -2.291 1.915 4.135
Tm -6.922 0.225 -0.688
Tm -4.770 2.841 -0.409
Tm -5.202 1.997 2.809
Tm -3.050 4.614 3.087
! **Space group**: No. 14


Entry 3:
! KSiAg PBE optimized geometry; values from VASP
&SYSTEM
  ibrav = 0, nat = 3, ntyp = 3
/
ATOMIC_SPECIES
Ag 107.87 Ag.upf
K 39.10 K.upf
Si 28.09 Si.upf
CELL_PARAMETERS angstrom
0.000 3.465 3.465
3.465 0.000 3.465
3.465 3.465 0.000
ATOMIC_POSITIONS angstrom
Ag 0.000 0.000 0.000
K 5.198 5.198 5.198
Si 1.733 1.733 1.733
! **Space group**: No. 216


Entry 4:
! TbPrB PBE optimized geometry; values from VASP
&SYSTEM
  ibrav = 0, nat = 3, ntyp = 3
/
ATOMIC_SPECIES
B 10.81 B.upf
Pr 140.91 Pr.upf
Tb 158.93 Tb.upf
CELL_PARAMETERS angstrom
0.000 3.278 3.278
3.278 0.000 3.278
3.278 3.278 0.000
ATOMIC_POSITIONS angstrom
B 0.000 0.000 0.000
Pr 1.639 1.639 1.639
Tb 4.917 4.917 4.917
! **Space group**: No. 216


Calculated electronic total energy in order - -0.436; -0.421; -0.183; -0.381 Ry/atom